(1)
DFT (SCAN) results for a PBEsol-optimized structure of Li2CdIr.

E: -106.6 eV for the cell shown
Calculated formation energy: -0.071 eV/atom
N(E_F): 1.66 states/eV/cell

Cell lengths 3.1448, 3.1448, 5.6347 Å; angles 90.00, 90.00, 90.00 degrees
Closest atoms and distances in Å follow each position.
Space group P4/mmm (No. 123)
Symmetry-distinct sites (fractional):
Li 0.0000 0.0000 0.2157 [2 per cell]  1 Li 2.43, 4 Ir 2.53
Cd 0.5000 0.5000 0.5000 [1 per cell]  8 Li 2.74, 2 Ir 2.82
Ir 0.5000 0.5000 0.0000 [1 per cell]  8 Li 2.53, 2 Cd 2.82


(2)
DFT (SCAN) results for a PBEsol-optimized structure of SbPb2Au.

E: -515.7 eV for the cell shown
N(E_F): 3.55 states/eV/cell
Formation energy (no corrections): 0.033 eV/atom

Cell lengths 3.4869, 5.5184, 10.7039 Å; angles 90.00, 90.00, 90.00 degrees
Closest atoms and distances in Å follow each position.
Space group Imm2 (No. 44)
Symmetry-distinct sites (fractional):
Sb 0.0000 0.0000 0.0000 [2 per cell]  2 Au 2.81
Pb 0.0000 0.0000 0.4286 [2 per cell]  2 Au 2.96
Pb 0.0000 0.5000 0.2155 [2 per cell]  4 Au 3.27, 6 Pb 3.49-3.58, 4 Sb 3.51-3.60
Au 0.0000 0.5000 0.7057 [2 per cell]  2 Sb 2.81, 2 Pb 2.96


(3)
DFT (SCAN) results for a PBEsol-optimized structure of MgAlSb2.

E: -87.4 eV for the cell shown
N(E_F): 2.32 states/eV/cell
Polymorph energy (0 for the lowest one): 4.4 kJ per mole of atoms
Formation energy (no corrections): -0.036 eV/atom

Cell lengths 4.0632, 4.0632, 5.8067 Å; angles 90.00, 90.00, 90.00 degrees
Closest atoms and distances in Å follow each position.
Space group P4mm (No. 99)
Symmetry-distinct sites (fractional):
Mg 0.0000 0.0000 0.0000 [1 per cell]  6 Sb 2.87-2.94
Al 0.5000 0.5000 0.5674 [1 per cell]  6 Sb 2.85-2.96
Sb 0.0000 0.0000 0.5056 [1 per cell]  2 Mg 2.87-2.94, 4 Al 2.90
Sb 0.5000 0.5000 0.0582 [1 per cell]  2 Al 2.85-2.96, 4 Mg 2.89


(4)
DFT (SCAN) results for a PBEsol-optimized structure of Sr2GdBiO6.

E: -976.2 eV for the cell shown
N(E_F): 0.00 states/eV/cell
Formation energy (no corrections): -2.473 eV/atom

Cell lengths 8.5578, 8.5578, 8.5578 Å; angles 90.00, 90.00, 90.00 degrees
Closest atoms and distances in Å follow each position.
Space group Fm-3m (No. 225)
Symmetry-distinct sites (fractional):
Sr 0.2500 0.2500 0.2500 [8 per cell]  12 O 3.03
Gd 0.0000 0.0000 0.0000 [4 per cell]  6 O 2.19
Bi 0.0000 0.0000 0.5000 [4 per cell]  6 O 2.08
O 0.0000 0.0000 0.2564 [24 per cell]  1 Bi 2.08, 1 Gd 2.19